Entry 1
The following is a DFT calculation (PBE) of an optimized crystal structure of LaPrZnPt.

Cell lengths 5.2188, 5.2188, 5.2188 Å; angles 60.00, 60.00, 60.00 degrees
With the nearest neighbours (Å) after each atom.
Positions (direct):
La: 0.0000 0.0000 0.0000  4 Pt 3.20, 4 Zn 3.20
Pr: 0.5000 0.5000 0.5000  4 Pt 3.20, 4 Zn 3.20
Zn: 0.2500 0.2500 0.2500  4 La 3.20, 4 Pr 3.20
Pt: 0.7500 0.7500 0.7500  4 La 3.20, 4 Pr 3.20

D(E_F): 3.32 states/eV per cell
SG: No. 216

---

Entry 2
The following is a DFT calculation (PBE) of an optimized crystal structure of LaPrZnPt.

Cell lengths 4.5070, 6.0708, 6.0708 Å; angles 38.68, 90.00, 90.00 degrees
With the nearest neighbours (Å) after each atom.
Positions (direct):
La: 0.0000 0.0000 0.0000  4 Pt 3.11, 3 Zn 3.16-3.29
Pr: 0.5000 0.2766 0.2766  4 Zn 3.11, 3 Pt 3.16-3.29
Zn: 0.0000 0.7127 0.7127  2 Pt 2.82, 4 Pr 3.11, 2 La 3.16
Pt: 0.5000 0.5640 0.5640  2 Zn 2.82, 4 La 3.11, 2 Pr 3.16

D(E_F): 3.31 states/eV per cell
SG: No. 38

---

Need the numbers? Relative energies in eV/atom: entry 1 0.072; entry 2 0.000.

---

Entry 1
The following is a DFT calculation (PBE) of an optimized crystal structure of La2PrPu.

Cell lengths 12.7833, 12.7833, 12.7833 Å; angles 16.01, 16.01, 16.01 degrees
With the nearest neighbours (Å) after each atom.
Positions (direct):
La: 0.0851 0.0851 0.0851  1 Pu 3.22, 6 La 3.56
La: 0.9149 0.9149 0.9149  1 Pu 3.22, 6 La 3.56
Pr: 0.5000 0.5000 0.5000  6 Pr 3.56, 6 La 3.71
Pu: 0.0000 0.0000 0.0000  2 La 3.22, 6 Pu 3.56

D(E_F): 12.44 states/eV per cell
SG: No. 166

---

Entry 2
The following is a DFT calculation (PBE) of an optimized crystal structure of La2PrPu.

Cell lengths 5.9992, 5.9992, 3.7894 Å; angles 90.00, 90.00, 90.00 degrees
With the nearest neighbours (Å) after each atom.
Positions (direct):
La: 0.0000 0.5000 0.0000  4 Pr 3.55, 4 Pu 3.55, 2 La 3.79
La: 0.5000 0.0000 0.0000  4 Pr 3.55, 4 Pu 3.55, 2 La 3.79
Pr: 0.0000 0.0000 0.5000  8 La 3.55, 2 Pr 3.79
Pu: 0.5000 0.5000 0.5000  8 La 3.55, 2 Pu 3.79

D(E_F): 9.78 states/eV per cell
SG: No. 123

---

Entry 3
The following is a DFT calculation (PBE) of an optimized crystal structure of La2PrPu.

Cell lengths 11.9082, 11.9082, 11.9082 Å; angles 17.73, 17.73, 17.73 degrees
With the nearest neighbours (Å) after each atom.
Positions (direct):
La: 0.0000 0.0000 0.0000  3 Pu 3.47, 6 La 3.67, 3 Pr 3.73
La: 0.1568 0.1568 0.1568  3 Pu 3.49, 6 La 3.67, 3 Pr 3.78
Pr: 0.5792 0.5792 0.5792  6 Pr 3.67, 6 La 3.73-3.78
Pu: 0.4113 0.4113 0.4113  6 La 3.47-3.49, 6 Pu 3.67

D(E_F): 11.04 states/eV per cell
SG: No. 160

---

Entry 4
The following is a DFT calculation (PBE) of an optimized crystal structure of La2PrPu.

Cell lengths 3.6294, 3.6294, 10.3124 Å; angles 90.00, 90.00, 90.00 degrees
With the nearest neighbours (Å) after each atom.
Positions (direct):
La: 0.0000 0.0000 0.2355  4 Pu 3.53, 4 La 3.63, 4 Pr 3.75
La: 0.0000 0.0000 0.7645  4 Pu 3.53, 4 La 3.63, 4 Pr 3.75
Pr: 0.5000 0.5000 0.5000  4 Pr 3.63, 8 La 3.75
Pu: 0.5000 0.5000 0.0000  8 La 3.53, 4 Pu 3.63

D(E_F): 10.02 states/eV per cell
SG: No. 123

---

Need the numbers? Relative energies in eV/atom: entry 1 0.152; entry 2 0.066; entry 3 0.005; entry 4 0.000.

---

Entry 1
The following is a DFT calculation (PBE) of an optimized crystal structure of La2PrRh.

Cell lengths 6.4367, 6.4367, 10.1602 Å; angles 90.00, 90.00, 144.40 degrees
With the nearest neighbours (Å) after each atom.
Positions (direct):
La: 0.1398 0.8602 0.5671  2 Rh 2.88
La: 0.1398 0.8602 0.9329  2 Rh 2.88
La: 0.8602 0.1398 0.0671  2 Rh 2.88
La: 0.8602 0.1398 0.4329  2 Rh 2.88
Pr: 0.4154 0.5846 0.7500  2 Rh 3.09
Pr: 0.5846 0.4154 0.2500  2 Rh 3.09
Rh: 0.2792 0.7208 0.2500  4 La 2.88, 2 Pr 3.09
Rh: 0.7208 0.2792 0.7500  4 La 2.88, 2 Pr 3.09

D(E_F): 10.98 states/eV per cell
SG: No. 63

---

Entry 2
The following is a DFT calculation (PBE) of an optimized crystal structure of La2PrRh.

Cell lengths 9.8081, 9.8081, 9.8081 Å; angles 23.68, 23.68, 23.68 degrees
With the nearest neighbours (Å) after each atom.
Positions (direct):
La: 0.0000 0.0000 0.0000  3 Rh 2.87
La: 0.2163 0.2163 0.2163  3 Rh 2.85
Pr: 0.4416 0.4416 0.4416  6 La 3.86-3.87, 6 Pr 4.03
Rh: 0.6076 0.6076 0.6076  6 La 2.85-2.87

D(E_F): 5.80 states/eV per cell
SG: No. 160

---

Entry 3
The following is a DFT calculation (PBE) of an optimized crystal structure of La2PrRh.

Cell lengths 10.9270, 10.9270, 10.9270 Å; angles 20.54, 20.54, 20.54 degrees
With the nearest neighbours (Å) after each atom.
Positions (direct):
La: 0.1126 0.1126 0.1126  3 Rh 2.84
La: 0.8874 0.8874 0.8874  3 Rh 2.84
Pr: 0.0000 0.0000 0.0000  2 La 3.61, 6 Pr 3.90
Rh: 0.5000 0.5000 0.5000  6 La 2.84

D(E_F): 6.22 states/eV per cell
SG: No. 166

---

Need the numbers? Relative energies in eV/atom: entry 1 0.000; entry 2 0.067; entry 3 0.226.

---

Entry 1
The following is a DFT calculation (PBE) of an optimized crystal structure of LaPrRh.

Cell lengths 4.2628, 4.2628, 12.3014 Å; angles 100.05, 100.05, 59.96 degrees
With the nearest neighbours (Å) after each atom.
Positions (direct):
La: 0.1232 0.1232 0.3708  3 Rh 2.84-2.85
La: 0.8768 0.8768 0.6292  3 Rh 2.84-2.85
Pr: 0.3750 0.3750 0.1238  3 Rh 2.90-2.91
Pr: 0.6250 0.6250 0.8762  3 Rh 2.90-2.91
Rh: 0.2493 0.2493 0.7481  3 La 2.84-2.85, 3 Pr 2.90-2.91
Rh: 0.7507 0.7507 0.2519  3 La 2.84-2.85, 3 Pr 2.90-2.91

D(E_F): 6.74 states/eV per cell
SG: No. 12

---

Entry 2
The following is a DFT calculation (PBE) of an optimized crystal structure of LaPrRh.

Cell lengths 7.1324, 7.1324, 7.1324 Å; angles 90.00, 90.00, 90.00 degrees
With the nearest neighbours (Å) after each atom.
Positions (direct):
La: 0.1680 0.1680 0.1680  3 Rh 2.88
La: 0.3320 0.8320 0.6680  3 Rh 2.88
La: 0.6680 0.3320 0.8320  3 Rh 2.88
La: 0.8320 0.6680 0.3320  3 Rh 2.88
Pr: 0.1683 0.3317 0.6683  3 Rh 2.94
Pr: 0.3317 0.6683 0.1683  3 Rh 2.94
Pr: 0.6683 0.1683 0.3317  3 Rh 2.94
Pr: 0.8317 0.8317 0.8317  3 Rh 2.94
Rh: 0.0054 0.9946 0.4946  3 La 2.88, 3 Pr 2.94
Rh: 0.4946 0.0054 0.9946  3 La 2.88, 3 Pr 2.94
Rh: 0.5054 0.5054 0.5054  3 La 2.88, 3 Pr 2.94
Rh: 0.9946 0.4946 0.0054  3 La 2.88, 3 Pr 2.94

D(E_F): 11.76 states/eV per cell
SG: No. 198

---

Entry 3
The following is a DFT calculation (PBE) of an optimized crystal structure of LaPrRh.

Cell lengths 5.7533, 4.7993, 6.7241 Å; angles 90.00, 104.45, 90.00 degrees
With the nearest neighbours (Å) after each atom.
Positions (direct):
La: 0.0769 0.2500 0.3001  1 Rh 2.75
La: 0.9231 0.7500 0.6999  1 Rh 2.75
Pr: 0.4819 0.2500 0.8082  3 Rh 2.91-2.95
Pr: 0.5181 0.7500 0.1918  3 Rh 2.91-2.95
Rh: 0.3364 0.7500 0.5651  1 La 2.75, 3 Pr 2.91-2.95
Rh: 0.6636 0.2500 0.4349  1 La 2.75, 3 Pr 2.91-2.95

D(E_F): 5.14 states/eV per cell
SG: No. 11

---

Entry 4
The following is a DFT calculation (PBE) of an optimized crystal structure of LaPrRh.

Cell lengths 7.1716, 7.1716, 7.1716 Å; angles 150.81, 150.81, 41.75 degrees
With the nearest neighbours (Å) after each atom.
Positions (direct):
La: 0.0000 0.0000 0.0000  4 Rh 3.04, 1 Pr 3.35
Pr: 0.7498 0.7498 0.0000  4 Rh 3.07, 1 La 3.35
Rh: 0.3767 0.3767 0.0000  4 La 3.04, 4 Pr 3.07

D(E_F): 3.30 states/eV per cell
SG: No. 107

---

Need the numbers? Relative energies in eV/atom: entry 1 0.000; entry 2 0.012; entry 3 0.035; entry 4 0.100.

---

Entry 1
The following is a DFT calculation (PBE) of an optimized crystal structure of LaPrRh.

Cell lengths 5.0028, 5.0028, 5.0028 Å; angles 60.00, 60.00, 60.00 degrees
With the nearest neighbours (Å) after each atom.
Positions (direct):
La: 0.0000 0.0000 0.0000  4 Rh 3.06
Pr: 0.5000 0.5000 0.5000  4 Rh 3.06
Rh: 0.2500 0.2500 0.2500  4 La 3.06, 4 Pr 3.06

D(E_F): 2.04 states/eV per cell
SG: No. 216

---

Entry 2
The following is a DFT calculation (PBE) of an optimized crystal structure of LaPrRh.

Cell lengths 4.1726, 4.1726, 6.5560 Å; angles 90.00, 90.00, 120.00 degrees
With the nearest neighbours (Å) after each atom.
Positions (direct):
La: 0.0000 0.0000 0.0000  3 Rh 2.84
Pr: 0.6667 0.3333 0.5285  3 Rh 2.89
Rh: 0.3333 0.6667 0.7709  3 La 2.84, 3 Pr 2.89

D(E_F): 3.02 states/eV per cell
SG: No. 156

---

Need the numbers? Relative energies in eV/atom: entry 1 0.043; entry 2 0.000.

---

Entry 1
The following is a DFT calculation (PBE) of an optimized crystal structure of La2Pr2Rh3.

Cell lengths 7.7745, 7.7745, 7.7745 Å; angles 109.47, 109.47, 109.47 degrees
With the nearest neighbours (Å) after each atom.
Positions (direct):
La: 0.0000 0.6127 0.5000  3 Rh 2.84
La: 0.5000 0.0000 0.6127  3 Rh 2.84
La: 0.6127 0.5000 0.0000  3 Rh 2.84
La: 0.8873 0.8873 0.8873  3 Rh 2.84
Pr: 0.0000 0.1151 0.5000  3 Rh 2.90
Pr: 0.1151 0.5000 0.0000  3 Rh 2.90
Pr: 0.3849 0.3849 0.3849  3 Rh 2.90
Pr: 0.5000 0.0000 0.1151  3 Rh 2.90
Rh: 0.1365 0.8865 0.2500  2 La 2.84, 2 Pr 2.90
Rh: 0.2500 0.1365 0.8865  2 La 2.84, 2 Pr 2.90
Rh: 0.3635 0.6135 0.7500  2 La 2.84, 2 Pr 2.90
Rh: 0.6135 0.7500 0.3635  2 La 2.84, 2 Pr 2.90
Rh: 0.7500 0.3635 0.6135  2 La 2.84, 2 Pr 2.90
Rh: 0.8865 0.2500 0.1365  2 La 2.84, 2 Pr 2.90

D(E_F): 9.28 states/eV per cell
SG: No. 199

---

Entry 2
The following is a DFT calculation (PBE) of an optimized crystal structure of La2Pr2Rh3.

Cell lengths 4.1979, 7.1107, 7.1913 Å; angles 99.86, 90.02, 107.10 degrees
With the nearest neighbours (Å) after each atom.
Positions (direct):
La: 0.1244 0.2494 0.3854  5 Rh 2.89-2.94
La: 0.8756 0.7506 0.6146  5 Rh 2.89-2.94
Pr: 0.3633 0.7286 0.1369  4 Rh 2.87-2.91
Pr: 0.6367 0.2714 0.8631  4 Rh 2.87-2.91
Rh: 0.2609 0.5210 0.7527  3 Pr 2.87-2.90, 3 La 2.89-2.94
Rh: 0.5000 0.0000 0.5000  4 La 2.91, 2 Pr 2.91
Rh: 0.7391 0.4790 0.2473  3 Pr 2.87-2.90, 3 La 2.89-2.94

D(E_F): 4.16 states/eV per cell
SG: No. 2

---

Need the numbers? Relative energies in eV/atom: entry 1 0.000; entry 2 0.057.